1.
KCa2Sc: relaxed, PBE.

Calculated values
crystal system = tetragonal
energy of formation from the pure elements = 449.4 meV per atom
electronic total energy = -0.177 Ry per atom
energy above the lowest structure with this stoichiometry = 0.226 eV per atom
V = 320.9 Å³ per cell

Unit cell a=5.305 b=5.305 c=11.403 alpha=90.00 beta=90.00 gamma=90.00
Space group I-4m2 (No. 119)
Asymmetric unit:
K  0.000  0.000  0.000
Ca  0.000  0.000  0.500
Ca  0.000  0.500  0.250
Sc  0.000  0.500  0.750

2.
KCaSc2: relaxed, PBE.

Calculated values
crystal system = tetragonal
energy of formation from the pure elements = 546.9 meV per atom
electronic total energy = -0.249 Ry per atom
energy above the lowest structure with this stoichiometry = 0.277 eV per atom
V = 145.8 Å³ per cell

Unit cell a=3.860 b=3.860 c=9.786 alpha=90.00 beta=90.00 gamma=90.00
Space group P4/mmm (No. 123)
Asymmetric unit:
K  0.000  0.000  0.000
Ca  0.000  0.000  0.500
Sc  0.500  0.500  0.309

Copy entry 2 word for word.
KCaSc2: relaxed, PBE.

Calculated values
crystal system = tetragonal
energy of formation from the pure elements = 546.9 meV per atom
electronic total energy = -0.249 Ry per atom
energy above the lowest structure with this stoichiometry = 0.277 eV per atom
V = 145.8 Å³ per cell

Unit cell a=3.860 b=3.860 c=9.786 alpha=90.00 beta=90.00 gamma=90.00
Space group P4/mmm (No. 123)
Asymmetric unit:
K  0.000  0.000  0.000
Ca  0.000  0.000  0.500
Sc  0.500  0.500  0.309